Record 1
The following is a DFT calculation (GGA-PBE) of crystalline AcAl2ZnAu at its relaxed geometry.

Summary:
ΔE_f in eV/atom: -0.531

Cell: 6.1690 6.1690 6.1690 Å, 136.42 136.42 63.33°
With the nearest neighbours (Å) after each atom.
Element x y z (fractional)
Ac 0.0000 0.0000 0.0000  4 Zn 3.48, 4 Au 3.48, 8 Al 3.50
Al 0.3738 0.3738 0.0000  2 Zn 2.63, 2 Au 2.63, 1 Al 2.65
Al 0.6262 0.6262 0.0000  2 Zn 2.63, 2 Au 2.63, 1 Al 2.65
Zn 0.2500 0.7500 0.5000  4 Al 2.63
Au 0.7500 0.2500 0.5000  4 Al 2.63

Record 2
The following is a DFT calculation (GGA-PBE) of crystalline Ac2AlZn2Au4 at its relaxed geometry.

Summary:
ΔE_f in eV/atom: -0.574

Cell: 6.5808 6.5808 6.5808 Å, 116.81 116.81 95.62°
With the nearest neighbours (Å) after each atom.
Element x y z (fractional)
Ac 0.2500 0.7500 0.5000  8 Au 3.29, 4 Zn 3.51
Ac 0.7500 0.2500 0.5000  8 Au 3.29, 4 Zn 3.51
Al 0.0000 0.0000 0.0000  4 Au 2.61, 2 Zn 2.85
Zn 0.3220 0.3220 0.0000  4 Au 2.76, 1 Al 2.85
Zn 0.6780 0.6780 0.0000  4 Au 2.76, 1 Al 2.85
Au 0.2673 0.2673 0.5346  1 Al 2.61, 2 Zn 2.76
Au 0.2673 0.7327 0.0000  1 Al 2.61, 2 Zn 2.76
Au 0.7327 0.2673 0.0000  1 Al 2.61, 2 Zn 2.76
Au 0.7327 0.7327 0.4654  1 Al 2.61, 2 Zn 2.76

Record 3
The following is a DFT calculation (GGA-PBE) of crystalline AcAlZn2Au4 at its relaxed geometry.

Summary:
ΔE_f in eV/atom: -0.471

Cell: 9.6669 9.6669 9.6669 Å, 26.91 26.91 26.91°
With the nearest neighbours (Å) after each atom.
Element x y z (fractional)
Ac 0.0000 0.0000 0.0000  6 Au 3.25
Al 0.5000 0.5000 0.5000  8 Au 2.71-2.73
Zn 0.2409 0.2409 0.2409  7 Au 2.67-2.93
Zn 0.7591 0.7591 0.7591  7 Au 2.67-2.93
Au 0.1360 0.1360 0.1360  3 Al 2.73, 4 Zn 2.87-2.93
Au 0.4032 0.4032 0.4032  3 Zn 2.67, 1 Al 2.71
Au 0.5968 0.5968 0.5968  3 Zn 2.67, 1 Al 2.71
Au 0.8640 0.8640 0.8640  3 Al 2.73, 4 Zn 2.87-2.93

Record 4
The following is a DFT calculation (GGA-PBE) of crystalline Ac3AlZn2Au6 at its relaxed geometry.

Summary:
ΔE_f in eV/atom: -0.527

Cell: 6.4962 6.4962 8.3803 Å, 90.00 90.00 120.00°
With the nearest neighbours (Å) after each atom.
Element x y z (fractional)
Ac 0.0000 0.0000 0.0000  6 Au 3.22
Ac 0.3333 0.6667 0.6436  9 Au 3.29-3.37, 1 Zn 3.35
Ac 0.6667 0.3333 0.3564  9 Au 3.29-3.37, 1 Zn 3.35
Al 0.0000 0.0000 0.5000  6 Au 2.64
Zn 0.3333 0.6667 0.0429  3 Au 2.75
Zn 0.6667 0.3333 0.9571  3 Au 2.75
Au 0.1804 0.3608 0.2984  1 Al 2.64, 1 Zn 2.75
Au 0.1804 0.8196 0.2984  1 Al 2.64, 1 Zn 2.75
Au 0.3608 0.1804 0.7016  1 Al 2.64, 1 Zn 2.75
Au 0.6392 0.8196 0.2984  1 Al 2.64, 1 Zn 2.75
Au 0.8196 0.1804 0.7016  1 Al 2.64, 1 Zn 2.75
Au 0.8196 0.6392 0.7016  1 Al 2.64, 1 Zn 2.75

Record 5
The following is a DFT calculation (GGA-PBE) of crystalline Ac2AlZn4Au3 at its relaxed geometry.

Summary:
ΔE_f in eV/atom: -0.524

Cell: 4.3909 4.3909 11.4029 Å, 90.00 90.00 90.00°
With the nearest neighbours (Å) after each atom.
Element x y z (fractional)
Ac 0.0000 0.5000 0.2490  6 Au 3.36-3.61, 8 Zn 3.39-3.59, 2 Al 3.61
Ac 0.5000 0.0000 0.7510  6 Au 3.36-3.61, 8 Zn 3.39-3.59, 2 Al 3.61
Al 0.0000 0.0000 0.5000  4 Zn 2.65
Zn 0.0000 0.0000 0.0000  4 Au 2.69
Zn 0.0000 0.5000 0.6306  2 Al 2.65, 3 Au 2.65-2.66
Zn 0.5000 0.0000 0.3694  2 Al 2.65, 3 Au 2.65-2.66
Zn 0.5000 0.5000 0.0000  4 Au 2.69
Au 0.0000 0.5000 0.8635  5 Zn 2.66-2.69
Au 0.5000 0.0000 0.1365  5 Zn 2.66-2.69
Au 0.5000 0.5000 0.5000  4 Zn 2.65

Record 6
The following is a DFT calculation (GGA-PBE) of crystalline AcAl2ZnAu5 at its relaxed geometry.

Summary:
ΔE_f in eV/atom: -0.356

Cell: 5.0622 5.0622 7.5708 Å, 90.00 90.00 90.00°
With the nearest neighbours (Å) after each atom.
Element x y z (fractional)
Ac 0.0000 0.0000 0.0000  12 Au 3.36-3.58
Al 0.5000 0.5000 0.3319  5 Au 2.51-2.55, 1 Al 2.55
Al 0.5000 0.5000 0.6681  5 Au 2.51-2.55, 1 Al 2.55
Zn 0.0000 0.0000 0.5000  8 Au 2.98
Au 0.0000 0.5000 0.2920  2 Al 2.55
Au 0.0000 0.5000 0.7080  2 Al 2.55
Au 0.5000 0.0000 0.2920  2 Al 2.55
Au 0.5000 0.0000 0.7080  2 Al 2.55
Au 0.5000 0.5000 0.0000  2 Al 2.51

Record 7
The following is a DFT calculation (GGA-PBE) of crystalline AcAlZn8Au2 at its relaxed geometry.

Summary:
ΔE_f in eV/atom: -0.130

Cell: 5.0067 5.0067 10.0065 Å, 94.14 94.14 64.38°
With the nearest neighbours (Å) after each atom.
Element x y z (fractional)
Ac 0.0000 0.0000 0.0000  10 Zn 3.09-3.44, 2 Au 3.27
Al 0.0000 0.0000 0.5000  4 Zn 2.57
Zn 0.1404 0.6353 0.6897  5 Zn 2.54-2.71, 1 Al 2.57, 1 Au 2.83
Zn 0.3343 0.3343 0.8980  2 Zn 2.54, 1 Au 2.75
Zn 0.3471 0.3471 0.4533  5 Zn 2.68-2.71, 1 Au 2.80, 2 Al 2.98
Zn 0.3647 0.8596 0.3103  5 Zn 2.54-2.71, 1 Al 2.57, 1 Au 2.83
Zn 0.6353 0.1404 0.6897  5 Zn 2.54-2.71, 1 Al 2.57, 1 Au 2.83
Zn 0.6529 0.6529 0.5467  5 Zn 2.68-2.71, 1 Au 2.80, 2 Al 2.98
Zn 0.6657 0.6657 0.1020  2 Zn 2.54, 1 Au 2.75
Zn 0.8596 0.3647 0.3103  5 Zn 2.54-2.71, 1 Al 2.57, 1 Au 2.83
Au 0.3449 0.3449 0.1737  7 Zn 2.75-2.87
Au 0.6551 0.6551 0.8263  7 Zn 2.75-2.87

Record 8
The following is a DFT calculation (GGA-PBE) of crystalline AcAlZnAu at its relaxed geometry.

Summary:
ΔE_f in eV/atom: -0.393

Cell: 5.1050 5.1050 5.1050 Å, 60.00 60.00 60.00°
With the nearest neighbours (Å) after each atom.
Element x y z (fractional)
Ac 0.0000 0.0000 0.0000  4 Zn 3.13, 4 Au 3.13
Al 0.5000 0.5000 0.5000  4 Zn 3.13, 4 Au 3.13
Zn 0.7500 0.7500 0.7500  4 Al 3.13, 4 Ac 3.13
Au 0.2500 0.2500 0.2500  4 Al 3.13, 4 Ac 3.13

Record 9
The following is a DFT calculation (GGA-PBE) of crystalline AcAlB12 at its relaxed geometry.

Summary:
ΔE_f in eV/atom: -0.140

Cell: 4.2027 4.2027 8.4154 Å, 90.00 90.00 90.00°
With the nearest neighbours (Å) after each atom.
Element x y z (fractional)
Ac 0.0000 0.0000 0.0000  24 B 3.09
Al 0.0000 0.0000 0.5000  24 B 3.09
B 0.2026 0.5000 0.2499  5 B 1.70-1.77
B 0.2026 0.5000 0.7501  5 B 1.70-1.77
B 0.5000 0.2026 0.2499  5 B 1.70-1.77
B 0.5000 0.2026 0.7501  5 B 1.70-1.77
B 0.5000 0.5000 0.1009  5 B 1.70-1.77
B 0.5000 0.5000 0.3989  5 B 1.70-1.77
B 0.5000 0.5000 0.6011  5 B 1.70-1.77
B 0.5000 0.5000 0.8991  5 B 1.70-1.77
B 0.5000 0.7974 0.2499  5 B 1.70-1.77
B 0.5000 0.7974 0.7501  5 B 1.70-1.77
B 0.7974 0.5000 0.2499  5 B 1.70-1.77
B 0.7974 0.5000 0.7501  5 B 1.70-1.77

Record 10
The following is a DFT calculation (GGA-PBE) of crystalline AcAlBIr3 at its relaxed geometry.

Summary:
ΔE_f in eV/atom: -0.567

Cell: 6.9016 6.9016 5.9041 Å, 90.00 90.00 129.23°
With the nearest neighbours (Å) after each atom.
Element x y z (fractional)
Ac 0.2442 0.7558 0.7500  4 Ir 3.03-3.06, 2 Al 3.37
Ac 0.7558 0.2442 0.2500  4 Ir 3.03-3.06, 2 Al 3.37
Al 0.1138 0.8862 0.2500  5 Ir 2.44-2.54
Al 0.8862 0.1138 0.7500  5 Ir 2.44-2.54
B 0.4806 0.5194 0.2500  5 Ir 2.09-2.14
B 0.5194 0.4806 0.7500  5 Ir 2.09-2.14
Ir 0.2532 0.2532 0.0000  2 B 2.09
Ir 0.2532 0.2532 0.5000  2 B 2.09
Ir 0.3092 0.6908 0.2500  1 B 2.14
Ir 0.6908 0.3092 0.7500  1 B 2.14
Ir 0.7468 0.7468 0.0000  2 B 2.09
Ir 0.7468 0.7468 0.5000  2 B 2.09

Record 11
The following is a DFT calculation (GGA-PBE) of crystalline AcAlBIr2 at its relaxed geometry.

Summary:
ΔE_f in eV/atom: -0.661

Cell: 6.1642 6.1642 7.3812 Å, 90.00 90.00 139.23°
With the nearest neighbours (Å) after each atom.
Element x y z (fractional)
Ac 0.0609 0.9391 0.7500  4 B 2.92
Ac 0.9391 0.0609 0.2500  4 B 2.92
Al 0.2224 0.7776 0.2500  6 Ir 2.63-2.65
Al 0.7776 0.2224 0.7500  6 Ir 2.63-2.65
B 0.5000 0.5000 0.0000  2 Ir 1.96
B 0.5000 0.5000 0.5000  2 Ir 1.96
Ir 0.3348 0.6652 0.5601  1 B 1.96
Ir 0.3348 0.6652 0.9399  1 B 1.96
Ir 0.6652 0.3348 0.0601  1 B 1.96
Ir 0.6652 0.3348 0.4399  1 B 1.96

Record 12
The following is a DFT calculation (GGA-PBE) of crystalline Ac3AlB2N6 at its relaxed geometry.

Summary:
Raw formation energy in eV per formula unit: -12.79

Cell: 5.5189 5.5189 6.4649 Å, 90.00 90.00 120.00°
With the nearest neighbours (Å) after each atom.
Element x y z (fractional)
Ac 0.0000 0.0000 0.0000  6 N 2.59
Ac 0.3333 0.6667 0.6792  1 B 2.58, 9 N 2.76-2.86
Ac 0.6667 0.3333 0.3209  1 B 2.58, 9 N 2.76-2.86
Al 0.0000 0.0000 0.5000  6 N 2.14
B 0.3333 0.6667 0.2794  3 N 1.49
B 0.6667 0.3333 0.7206  3 N 1.49
N 0.1785 0.3570 0.3003  1 B 1.49
N 0.1785 0.8215 0.3003  1 B 1.49
N 0.3570 0.1785 0.6997  1 B 1.49
N 0.6430 0.8215 0.3003  1 B 1.49
N 0.8215 0.1785 0.6997  1 B 1.49
N 0.8215 0.6430 0.6997  1 B 1.49

| no. | magnetic moment (μB per atom) | calculated density (Mg/m³) |
| --- | --- | --- |
| 1 | 0.00 | 8.2 |
| 2 | 0.00 | 11.1 |
| 3 | 0.00 | 11.9 |
| 4 | 0.00 | 11.0 |
| 5 | 0.00 | 10.1 |
| 6 | 0.00 | 11.4 |
| 7 | 0.00 | 8.6 |
| 8 | 0.00 | 9.1 |
| 9 | 0.00 | 4.3 |
| 10 | 0.00 | 12.8 |
| 11 | 0.00 | 11.8 |
| 12 | 0.00 | 7.9 |